(1)
## InSi2Pt (PBE)

Data for a relaxed InSi2Pt crystal.

Cell: 7.605 3.387 6.297 Å, 90.00 108.93 90.00°
Space group Cm (No. 8)
Inequivalent atoms, fractional coordinates:
In1 0.000 0.000 0.000 [2 per cell]
Si1 0.018 0.500 0.445 [2 per cell]
Si2 0.286 0.000 0.636 [2 per cell]
Pt1 0.274 0.500 0.292 [2 per cell]

DOS at the Fermi energy (states/eV per atom): 0.40
Calculated volume (Å³ per cell): 153
E_tot (eV/atom): -4.95


(2)
## Fe2MoCl (PBE)

Data for a relaxed Fe2MoCl crystal.

Cell: 2.834 4.449 8.712 Å, 90.00 90.00 90.00°
Space group Imm2 (No. 44)
Inequivalent atoms, fractional coordinates:
Fe1 0.000 0.000 0.000 [2 per cell]
Fe2 0.000 0.500 0.270 [2 per cell]
Mo1 0.000 0.500 0.800 [2 per cell]
Cl1 0.000 0.000 0.540 [2 per cell]

DOS at the Fermi energy (states/eV per atom): 0.96
Calculated volume (Å³ per cell): 110
E_tot (eV/atom): -6.75


(3)
## HfZr2ScH (PBE)

Data for a relaxed HfZr2ScH crystal.

Cell: 4.513 4.513 4.558 Å, 90.00 90.00 90.00°
Space group P4/mmm (No. 123)
Inequivalent atoms, fractional coordinates:
Hf1 0.000 0.000 0.000 [1 per cell]
Zr1 0.000 0.500 0.500 [2 per cell]
Sc1 0.500 0.500 0.000 [1 per cell]
H1 0.500 0.500 0.500 [1 per cell]

DOS at the Fermi energy (states/eV per atom): 1.24
Calculated volume (Å³ per cell): 93
E_tot (eV/atom): -7.46


(4)
## KInC (PBE)

Data for a relaxed KInC crystal.

Cell: 3.580 6.893 7.248 Å, 76.13 76.06 75.05°
Space group P1 (No. 1)
Inequivalent atoms, fractional coordinates:
K1 0.000 0.000 0.000 [1 per cell]
K2 0.086 0.435 0.383 [1 per cell]
In1 0.298 0.884 0.513 [1 per cell]
In2 0.319 0.516 0.852 [1 per cell]
C1 0.527 0.244 0.700 [1 per cell]
C2 0.643 0.084 0.626 [1 per cell]

Formation enthalpy at 0 K (meV per atom): 306
DOS at the Fermi energy (states/eV per atom): 0.18
Calculated volume (Å³ per cell): 165
E_tot (eV/atom): -4.05


(5)
## CaCd2Se2 (PBE)

Data for a relaxed CaCd2Se2 crystal.

Cell: 4.025 4.025 15.825 Å, 90.00 90.00 90.00°
Space group I4/mmm (No. 139)
Inequivalent atoms, fractional coordinates:
Ca1 0.000 0.000 0.000 [2 per cell]
Cd1 0.000 0.500 0.250 [4 per cell]
Se1 0.000 0.000 0.413 [4 per cell]

DOS at the Fermi energy (states/eV per atom): 0.14
Calculated volume (Å³ per cell): 256
E_tot (eV/atom): -2.83


(6)
## PmEr2CdAu4 (PBE)

Data for a relaxed PmEr2CdAu4 crystal.

Cell: 5.0132 5.0132 24.9216 Å, 90.00 90.00 120.00°
Space group R-3m (No. 166, hexagonal axes)
Inequivalent atoms, fractional coordinates:
Pm1 0.0000 0.0000 0.0000 [3 per cell]
Er1 0.0000 0.0000 0.2419 [6 per cell]
Cd1 0.0000 0.0000 0.5000 [3 per cell]
Au1 0.0000 0.0000 0.1214 [6 per cell]
Au2 0.0000 0.0000 0.3748 [6 per cell]

Formation enthalpy at 0 K (meV per atom): -740
DOS at the Fermi energy (states/eV per atom): 0.59
Calculated volume (Å³ per cell): 542
E_tot (eV/atom): -4.23